Record 1
## La8HOs3I4 (GGA-PBE)

Data for a geometry-optimized La8HOs3I4 structure.

Calculated density   7.2 Mg/m³
Space-group type   No. 12
DFT total energy   -94.3 eV/cell
Total magnetic moment   0.0 Bohr magnetons per cell
Volume   31.44 Å³/atom

abc: 8.389 9.566 8.395
angles: 116.06 119.98 90.00
Element x y z (fractional)
La 0.768 0.316 0.535
La 0.768 0.316 0.048
La 0.280 0.316 0.048
La 0.232 0.684 0.465
La 0.232 0.684 0.952
La 0.720 0.684 0.952
La 0.730 0.690 0.460
La 0.270 0.310 0.540
Os 0.000 0.500 0.500
Os 0.500 0.500 0.500
Os 0.500 0.500 0.000
I 0.000 0.000 0.500
I 0.500 0.000 0.500
I 0.000 0.000 0.000
I 0.500 0.000 0.000
H 0.000 0.500 0.000

---

Record 2
## La2PH2I (GGA-PBE)

Data for a geometry-optimized La2PH2I structure.

Calculated density   5.7 Mg/m³
Space-group type   No. 164
DFT total energy   -30.5 eV/cell
Total magnetic moment   0.0 Bohr magnetons per cell
Volume   21.38 Å³/atom

abc: 4.149 4.149 8.603
angles: 90.00 90.00 120.00
Element x y z (fractional)
La 0.333 0.667 0.706
La 0.667 0.333 0.294
H 0.667 0.333 0.738
H 0.333 0.667 0.262
P 0.000 0.000 0.500
I 0.000 0.000 0.000

---

Record 3
## La8P3HI4 (GGA-PBE)

Data for a geometry-optimized La8P3HI4 structure.

Calculated density   5.9 Mg/m³
Space-group type   No. 166
DFT total energy   -84.6 eV/cell
Total magnetic moment   0.8 Bohr magnetons per cell
Volume   30.26 Å³/atom

abc: 8.496 9.168 8.496
angles: 117.60 120.00 90.00
Element x y z (fractional)
La 0.770 0.305 0.035
La 0.230 0.695 0.965
La 0.265 0.305 0.035
La 0.268 0.303 0.535
La 0.735 0.695 0.965
La 0.732 0.697 0.465
La 0.770 0.305 0.539
La 0.230 0.695 0.461
I 0.000 0.000 0.000
I 0.500 0.000 0.000
I 0.000 0.000 0.500
I 0.500 0.000 0.500
P 0.500 0.500 0.500
P 0.500 0.500 0.000
P 0.000 0.500 0.500
H 0.000 0.500 0.000

---

Record 4
## La4PHI2 (GGA-PBE)

Data for a geometry-optimized La4PHI2 structure.

Calculated density   6.0 Mg/m³
Space-group type   No. 10
DFT total energy   -39.6 eV/cell
Total magnetic moment   0.0 Bohr magnetons per cell
Volume   29.15 Å³/atom

abc: 4.098 7.281 8.106
angles: 105.42 90.00 90.00
Element x y z (fractional)
La 0.500 0.244 0.190
La 0.000 0.277 0.807
La 0.500 0.756 0.810
La 0.000 0.723 0.193
I 0.500 0.000 0.500
I 0.000 0.500 0.500
P 0.000 0.000 0.000
H 0.500 0.500 0.000

---

Record 5
## La2HPbI (GGA-PBE)

Data for a geometry-optimized La2HPbI structure.

Calculated density   6.7 Mg/m³
Space-group type   No. 123
DFT total energy   -18.9 eV/cell
Total magnetic moment   0.0 Bohr magnetons per cell
Volume   30.24 Å³/atom

abc: 6.215 3.915 6.215
angles: 90.00 90.00 90.00
Element x y z (fractional)
La 0.000 0.000 0.500
La 0.500 0.000 0.000
H 0.000 0.500 0.000
Pb 0.500 0.500 0.500
I 0.000 0.000 0.000

---

Record 6
## La8HPd3I4 (GGA-PBE)

Data for a geometry-optimized La8HPd3I4 structure.

Calculated density   6.4 Mg/m³
Space-group type   No. 12
DFT total energy   -78.0 eV/cell
Total magnetic moment   1.8 Bohr magnetons per cell
Volume   31.58 Å³/atom

abc: 8.480 9.474 8.487
angles: 116.64 119.97 90.00
Last column: magnetic moment on the atom in μB.
Element x y z (fractional)
I 0.000 0.000 0.000  0.00
I 0.000 0.000 0.500  0.00
I 0.500 0.000 0.500  0.00
I 0.500 0.000 0.000  0.01
Pd 0.000 0.500 0.500  0.02
Pd 0.500 0.500 0.500  0.02
Pd 0.500 0.500 0.000  0.02
La 0.774 0.302 0.028  0.12
La 0.731 0.693 0.462  0.00
La 0.773 0.301 0.547  0.11
La 0.747 0.698 0.972  0.12
La 0.226 0.698 0.972  0.12
La 0.269 0.307 0.538  0.00
La 0.253 0.302 0.028  0.12
La 0.227 0.699 0.453  0.11
H 0.000 0.500 0.000  -0.01

---

Record 7
## La6HPd2I3 (GGA-PBE)

Data for a geometry-optimized La6HPd2I3 structure.

Calculated density   6.4 Mg/m³
Space-group type   No. 12
DFT total energy   -57.6 eV/cell
Total magnetic moment   0.0 Bohr magnetons per cell
Volume   30.93 Å³/atom

abc: 7.269 7.269 8.422
angles: 98.50 98.50 119.30
Element x y z (fractional)
La 0.383 0.061 0.195
La 0.258 0.258 0.793
La 0.617 0.939 0.805
La 0.742 0.742 0.207
La 0.939 0.617 0.805
La 0.061 0.383 0.195
H 0.000 0.000 0.000
I 0.827 0.173 0.500
I 0.500 0.500 0.500
I 0.173 0.827 0.500
Pd 0.663 0.337 0.000
Pd 0.337 0.663 0.000

---

Record 8
## La2HPdI (GGA-PBE)

Data for a geometry-optimized La2HPdI structure.

Calculated density   7.6 Mg/m³
Space-group type   No. 123
DFT total energy   -23.2 eV/cell
Total magnetic moment   0.0 Bohr magnetons per cell
Volume   22.53 Å³/atom

abc: 5.383 3.887 5.383
angles: 90.00 90.00 90.00
Element x y z (fractional)
Pd 0.000 0.500 0.000
H 0.000 0.000 0.000
La 0.500 0.000 0.000
La 0.000 0.000 0.500
I 0.500 0.500 0.500

---

Record 9
## LaHPdI2 (GGA-PBE)

Data for a geometry-optimized LaHPdI2 structure.

Calculated density   6.9 Mg/m³
Space-group type   No. 123
DFT total energy   -18.8 eV/cell
Total magnetic moment   0.0 Bohr magnetons per cell
Volume   24.23 Å³/atom

abc: 5.429 4.110 5.429
angles: 90.00 90.00 90.00
Element x y z (fractional)
I 0.000 0.000 0.500
I 0.500 0.000 0.000
La 0.000 0.500 0.000
Pd 0.500 0.500 0.500
H 0.000 0.000 0.000

---

Record 10
## Rb2LaHI6 (GGA-PBE)

Data for a geometry-optimized Rb2LaHI6 structure.

Calculated density   3.9 Mg/m³
Space-group type   No. 139
DFT total energy   -30.8 eV/cell
Total magnetic moment   0.0 Bohr magnetons per cell
Volume   46.24 Å³/atom

abc: 9.531 9.531 8.446
angles: 55.65 55.65 90.00
Element x y z (fractional)
Rb 0.750 0.250 0.500
Rb 0.250 0.750 0.500
I 0.313 0.313 0.373
I 0.768 0.232 0.000
I 0.768 0.768 0.000
I 0.687 0.687 0.627
I 0.232 0.232 0.000
I 0.232 0.768 0.000
H 0.500 0.500 0.000
La 0.000 0.000 0.000

---

Record 11
## La8HRh3I4 (GGA-PBE)

Data for a geometry-optimized La8HRh3I4 structure.

Calculated density   6.4 Mg/m³
Space-group type   No. 12
DFT total energy   -85.9 eV/cell
Total magnetic moment   0.0 Bohr magnetons per cell
Volume   31.41 Å³/atom

abc: 8.396 9.566 8.376
angles: 115.90 120.08 90.00
Element x y z (fractional)
I 0.000 0.000 0.500
I 0.000 0.000 0.000
I 0.500 0.000 0.500
I 0.500 0.000 0.000
Rh 0.500 0.500 0.500
Rh 0.000 0.500 0.500
Rh 0.500 0.500 0.000
La 0.771 0.314 0.043
La 0.229 0.686 0.957
La 0.272 0.314 0.043
La 0.271 0.313 0.543
La 0.729 0.687 0.457
La 0.228 0.686 0.457
La 0.728 0.686 0.957
La 0.772 0.314 0.543
H 0.000 0.500 0.000

---

Record 12
## La4HRhI2 (GGA-PBE)

Data for a geometry-optimized La4HRhI2 structure.

Calculated density   6.4 Mg/m³
Space-group type   No. 10
DFT total energy   -40.0 eV/cell
Total magnetic moment   0.2 Bohr magnetons per cell
Volume   29.71 Å³/atom

abc: 4.120 7.059 8.497
angles: 105.91 90.00 90.00
Element x y z (fractional)
La 0.000 0.273 0.808
La 0.500 0.756 0.814
La 0.500 0.244 0.186
La 0.000 0.727 0.192
Rh 0.000 0.000 0.000
H 0.500 0.500 0.000
I 0.500 0.000 0.500
I 0.000 0.500 0.500

---

Record 13
## La6HRh2I3 (GGA-PBE)

Data for a geometry-optimized La6HRh2I3 structure.

Calculated density   6.3 Mg/m³
Space-group type   No. 12
DFT total energy   -62.9 eV/cell
Total magnetic moment   0.0 Bohr magnetons per cell
Volume   31.14 Å³/atom

abc: 7.233 7.233 8.582
angles: 98.17 98.17 119.80
Element x y z (fractional)
La 0.274 0.274 0.812
La 0.603 0.939 0.813
La 0.397 0.061 0.187
La 0.061 0.397 0.187
La 0.726 0.726 0.188
La 0.939 0.603 0.813
I 0.500 0.500 0.500
I 0.168 0.832 0.500
I 0.832 0.168 0.500
Rh 0.334 0.666 0.000
Rh 0.666 0.334 0.000
H 0.000 0.000 0.000

---

Record 14
## La6HRu2I3 (GGA-PBE)

Data for a geometry-optimized La6HRu2I3 structure.

Calculated density   6.4 Mg/m³
Space-group type   No. 12
DFT total energy   -65.6 eV/cell
Total magnetic moment   0.0 Bohr magnetons per cell
Volume   30.83 Å³/atom

abc: 7.178 7.178 8.630
angles: 97.98 97.98 119.99
Element x y z (fractional)
La 0.938 0.600 0.814
La 0.400 0.062 0.186
La 0.062 0.400 0.186
La 0.277 0.277 0.814
La 0.723 0.723 0.186
La 0.600 0.938 0.814
Ru 0.333 0.667 0.000
Ru 0.667 0.333 0.000
I 0.500 0.500 0.500
I 0.169 0.831 0.500
I 0.831 0.169 0.500
H 0.000 0.000 0.000

---

Record 15
## La8HS3I4 (GGA-PBE)

Data for a geometry-optimized La8HS3I4 structure.

Calculated density   6.1 Mg/m³
Space-group type   No. 12
DFT total energy   -82.8 eV/cell
Total magnetic moment   1.0 Bohr magnetons per cell
Volume   29.21 Å³/atom

abc: 8.279 9.208 8.289
angles: 116.81 119.96 90.00
Last column: magnetic moment on the atom in μB.
Element x y z (fractional)
S 0.500 0.500 0.000  0.00
S 0.000 0.500 0.500  0.00
S 0.500 0.500 0.500  0.00
La 0.733 0.698 0.465  0.00
La 0.736 0.696 0.966  0.06
La 0.267 0.302 0.535  0.00
La 0.230 0.696 0.966  0.06
La 0.264 0.304 0.034  0.06
La 0.770 0.304 0.540  0.06
La 0.770 0.304 0.034  0.06
La 0.230 0.696 0.460  0.06
I 0.000 0.000 0.500  0.00
I 0.500 0.000 0.500  0.00
I 0.500 0.000 0.000  0.00
I 0.000 0.000 0.000  0.00
H 0.000 0.500 0.000  -0.01

---

Record 16
## LaHS2I (GGA-PBE)

Data for a geometry-optimized LaHS2I structure.

Calculated density   2.7 Mg/m³
Space-group type   No. 123
DFT total energy   -18.5 eV/cell
Total magnetic moment   3.0 Bohr magnetons per cell
Volume   41.03 Å³/atom

abc: 5.659 6.407 5.659
angles: 90.00 90.00 90.00
Last column: magnetic moment on the atom in μB.
Element x y z (fractional)
S 0.000 0.000 0.500  0.56
S 0.500 0.000 0.000  0.49
I 0.000 0.500 0.000  0.18
H 0.500 0.500 0.500  0.38
La 0.000 0.000 0.000  -0.02

---

Record 17
## LaSb2HI (GGA-PBE)

Data for a geometry-optimized LaSb2HI structure.

Polymorph energy (0 for the lowest one)   4.21 eV per formula unit
Calculated density   3.3 Mg/m³
Space-group type   No. 123
DFT total energy   -15.6 eV/cell
Total magnetic moment   3.0 Bohr magnetons per cell
Volume   50.65 Å³/atom

abc: 6.312 6.312 6.357
angles: 90.00 90.00 90.00
Last column: magnetic moment on the atom in μB.
Element x y z (fractional)
Sb 0.500 0.000 0.000  0.33
Sb 0.000 0.500 0.000  0.33
La 0.000 0.000 0.000  0.06
I 0.000 0.000 0.500  0.11
H 0.500 0.500 0.500  0.38

---

Record 18
## LaSb2HI (GGA-PBE)

Data for a geometry-optimized LaSb2HI structure.

Polymorph energy (0 for the lowest one)   0.00 eV per formula unit
Calculated density   6.7 Mg/m³
Space-group type   No. 123
DFT total energy   -19.8 eV/cell
Total magnetic moment   0.0 Bohr magnetons per cell
Volume   25.18 Å³/atom

abc: 4.574 4.574 6.018
angles: 90.00 90.00 90.00
Element x y z (fractional)
Sb 0.000 0.500 0.000
Sb 0.500 0.000 0.000
H 0.000 0.000 0.000
I 0.000 0.000 0.500
La 0.500 0.500 0.500

---

Record 19
## La2SbH2I (GGA-PBE)

Data for a geometry-optimized La2SbH2I structure.

Calculated density   6.2 Mg/m³
Space-group type   No. 164
DFT total energy   -28.4 eV/cell
Total magnetic moment   0.0 Bohr magnetons per cell
Volume   23.64 Å³/atom

abc: 4.253 4.253 9.057
angles: 90.00 90.00 120.00
Element x y z (fractional)
H 0.667 0.333 0.750
H 0.333 0.667 0.250
La 0.667 0.333 0.274
La 0.333 0.667 0.726
I 0.000 0.000 0.000
Sb 0.000 0.000 0.500

---

Record 20
## LaSbHI2 (GGA-PBE)

Data for a geometry-optimized LaSbHI2 structure.

Polymorph energy (0 for the lowest one)   1.04 eV per formula unit
Calculated density   3.3 Mg/m³
Space-group type   No. 123
DFT total energy   -15.9 eV/cell
Total magnetic moment   3.0 Bohr magnetons per cell
Volume   52.31 Å³/atom

abc: 6.339 6.339 6.509
angles: 90.00 90.00 90.00
Last column: magnetic moment on the atom in μB.
Element x y z (fractional)
Sb 0.000 0.000 0.500  0.64
I 0.000 0.500 0.000  0.05
I 0.500 0.000 0.000  0.05
H 0.500 0.500 0.500  0.38
La 0.000 0.000 0.000  0.05